The following is a PBE calculation of an optimized crystal structure of Tl8S3Cl2, from the Alexandria database.

Output
formation energy from raw total energies	-0.51	eV/atom

a b c (Å): 7.4391 9.8502 9.8506
angles (deg): 49.86 57.77 57.77
Closest atoms and distances in Å follow each position.
Atoms (fractional coordinates):
Cl 0.5714 0.7562 0.7560  3 Tl 2.95-2.99
Cl 0.4286 0.2438 0.2440  3 Tl 2.95-2.99
Tl 0.0486 0.6017 0.6016  2 S 2.93, 1 Cl 2.95
Tl 0.0018 0.1204 0.1206  3 S 2.98-3.00
Tl 0.4979 0.1473 0.6275  2 S 2.96-3.00, 1 Cl 2.99
Tl 0.9514 0.3983 0.3984  2 S 2.93, 1 Cl 2.95
Tl 0.4980 0.6275 0.1472  2 S 2.96-3.00, 1 Cl 2.99
Tl 0.5021 0.8527 0.3725  2 S 2.96-3.00, 1 Cl 2.99
Tl 0.9982 0.8796 0.8794  3 S 2.98-3.00
Tl 0.5020 0.3725 0.8528  2 S 2.96-3.00, 1 Cl 2.99
S 0.0001 0.7520 0.2480  6 Tl 2.93-3.00
S 0.9999 0.2480 0.7520  6 Tl 2.93-3.00
S 0.5000 0.0000 0.0000  6 Tl 2.96-3.00


The following is a PBE calculation of an optimized crystal structure of NaTb2P3Rh12, from the Alexandria database.

Output
formation enthalpy at 0 K	-0.2723	eV per atom

a b c (Å): 6.6739 6.6739 6.6739
angles (deg): 83.56 83.56 83.56
Closest atoms and distances in Å follow each position.
Atoms (fractional coordinates):
Rh 0.6298 0.0934 0.6298  2 P 2.56, 1 Rh 2.68
Rh 0.9066 0.3702 0.3702  2 P 2.56, 1 Rh 2.68
Rh 0.1762 0.6678 0.1762  1 P 2.22
Rh 0.8238 0.8238 0.3322  1 P 2.22
Rh 0.3702 0.9066 0.3702  2 P 2.56, 1 Rh 2.68
Rh 0.3322 0.8238 0.8238  1 P 2.22
Rh 0.6678 0.1762 0.1762  1 P 2.22
Rh 0.3702 0.3702 0.9066  2 P 2.56, 1 Rh 2.68
Rh 0.6298 0.6298 0.0934  2 P 2.56, 1 Rh 2.68
Rh 0.0934 0.6298 0.6298  2 P 2.56, 1 Rh 2.68
Rh 0.8238 0.3322 0.8238  1 P 2.22
Rh 0.1762 0.1762 0.6678  1 P 2.22
P 0.0000 0.0000 0.5000  2 Rh 2.22
P 0.0000 0.5000 0.0000  2 Rh 2.22
P 0.5000 0.0000 0.0000  2 Rh 2.22
Tb 0.6285 0.6285 0.6285  3 Rh 2.56
Tb 0.3715 0.3715 0.3715  3 Rh 2.56
Na 0.0000 0.0000 0.0000  6 Rh 2.61


The following is a PBE calculation of an optimized crystal structure of NdThMnZn, from the Alexandria database.

Output
formation enthalpy at 0 K	0.0550	eV per atom

a b c (Å): 5.1557 5.1557 5.1557
angles (deg): 60.00 60.00 60.00
Closest atoms and distances in Å follow each position.
Atoms (fractional coordinates):
Th 0.7500 0.7500 0.7500  4 Mn 3.16, 4 Zn 3.16
Zn 0.0000 0.0000 0.0000  4 Th 3.16, 4 Nd 3.16
Nd 0.2500 0.2500 0.2500  4 Zn 3.16, 4 Mn 3.16
Mn 0.5000 0.5000 0.5000  4 Nd 3.16, 4 Th 3.16


The following is a PBE calculation of an optimized crystal structure of Zr2Ti7NbPb2, from the Alexandria database.

Output
formation enthalpy at 0 K	0.0195	eV per atom

a b c (Å): 3.9113 3.9113 15.9449
angles (deg): 82.98 82.98 90.00
Closest atoms and distances in Å follow each position.
Atoms (fractional coordinates):
Ti 0.0694 0.5695 0.8601  6 Ti 2.77-2.94, 2 Pb 2.93, 2 Nb 2.94
Ti 0.4305 0.9306 0.1399  6 Ti 2.77-2.94, 2 Pb 2.93, 2 Nb 2.94
Ti 0.9306 0.4305 0.1399  6 Ti 2.77-2.94, 2 Pb 2.93, 2 Nb 2.94
Ti 0.5695 0.0694 0.8601  6 Ti 2.77-2.94, 2 Pb 2.93, 2 Nb 2.94
Ti 0.5000 0.5000 0.0000  4 Nb 2.77, 8 Ti 2.94
Ti 0.7677 0.7677 0.4645  1 Zr 2.91, 1 Pb 2.92, 4 Ti 2.98
Ti 0.2323 0.2323 0.5355  1 Zr 2.91, 1 Pb 2.92, 4 Ti 2.98
Zr 0.3256 0.3256 0.3504  1 Ti 2.91, 4 Pb 2.99
Zr 0.6744 0.6744 0.6496  1 Ti 2.91, 4 Pb 2.99
Nb 0.0000 0.0000 0.0000  12 Ti 2.77-2.94
Pb 0.1386 0.1386 0.7214  5 Ti 2.92-2.93, 4 Zr 2.99
Pb 0.8614 0.8614 0.2786  5 Ti 2.92-2.93, 4 Zr 2.99


Theoretical density in g cm⁻³, matching the order above: 6.71 9.49 8.51 7.08
Calculated volume in Å³ per atom, matching the order above: 34.3 16.2 24.2 20.0